Record 1
CeHfNp2As4 (PBE, relaxed); formation energy = -0.947 eV/atom; symmetry = P2/m
1.0
7.0137 0.0000 0.0000
0.0000 4.0583 0.0000
-2.3344 0.0000 6.6671
Ce Hf Np As
1 1 2 4
Direct
0.0000 0.0000 0.0000
0.0000 0.5000 0.5000
0.5000 0.0000 0.5000
0.5000 0.5000 0.0000
0.2393 0.0000 0.7340
0.2472 0.5000 0.2629
0.7528 0.5000 0.7371
0.7607 0.0000 0.2660

***

Record 2
Pm2LuPt (PBE, relaxed); formation energy = -0.487 eV/atom; symmetry = P4/mmm
1.0
3.6763 0.0000 0.0000
0.0000 3.6763 0.0000
0.0000 0.0000 8.2138
Pm Lu Pt
2 1 1
Direct
0.0000 0.0000 0.2044
0.0000 0.0000 0.7956
0.5000 0.5000 0.5000
0.5000 0.5000 0.0000

***

Record 3
Pu3Mn2Sn3 (PBE, relaxed); formation energy = -0.210 eV/atom; symmetry = C2/m
1.0
16.2676 0.0000 0.0000
0.0000 4.6522 0.0000
-0.6132 0.0000 4.6904
Pu Mn Sn
6 4 6
Direct
0.0000 0.0000 0.0000
0.1719 0.0000 0.5829
0.3281 0.5000 0.4171
0.5000 0.5000 0.0000
0.6719 0.5000 0.5829
0.8281 0.0000 0.4171
0.2115 0.0000 0.1116
0.2885 0.5000 0.8884
0.7115 0.5000 0.1116
0.7885 0.0000 0.8884
0.0000 0.5000 0.5000
0.1352 0.5000 0.0625
0.3648 0.0000 0.9375
0.5000 0.0000 0.5000
0.6352 0.0000 0.0625
0.8648 0.5000 0.9375

***

Record 4
HfPaAu (PBE, relaxed); energy above the lowest structure with this stoichiometry = 26 meV per atom; formation energy = -0.258 eV/atom; symmetry = I4mm
1.0
3.1573 0.0000 0.0000
0.0000 3.1573 0.0000
0.0000 0.0000 13.2662
Hf Pa Au
2 2 2
Direct
0.0000 0.0000 0.0000
0.5000 0.5000 0.5000
0.0000 0.0000 0.6776
0.5000 0.5000 0.1776
0.0000 0.0000 0.3573
0.5000 0.5000 0.8573

***

Record 5
Nb6MoRu (PBE, relaxed); energy above the lowest structure with this stoichiometry = 0 meV per atom; formation energy = -0.167 eV/atom; symmetry = I4/mmm
1.0
4.5880 0.0000 0.0000
0.0000 4.5880 0.0000
0.0000 0.0000 13.1587
Nb Mo Ru
12 2 2
Direct
0.0000 0.0000 0.2482
0.0000 0.0000 0.7518
0.0000 0.5000 0.1214
0.0000 0.5000 0.3786
0.0000 0.5000 0.6214
0.0000 0.5000 0.8786
0.5000 0.0000 0.1214
0.5000 0.0000 0.3786
0.5000 0.0000 0.6214
0.5000 0.0000 0.8786
0.5000 0.5000 0.2518
0.5000 0.5000 0.7482
0.0000 0.0000 0.0000
0.5000 0.5000 0.5000
0.0000 0.0000 0.5000
0.5000 0.5000 0.0000

***

Record 6
TlGa (PBE, relaxed); formation energy = 0.109 eV/atom; symmetry = R-3m
1.0
5.2345 0.0000 0.0000
-2.6173 4.5332 0.0000
0.0000 0.0000 12.8686
Tl Ga
6 6
Direct
0.0000 0.0000 0.1247
0.0000 0.0000 0.8753
0.3333 0.6667 0.5420
0.3333 0.6667 0.7913
0.6667 0.3333 0.2087
0.6667 0.3333 0.4580
0.0000 0.0000 0.3740
0.0000 0.0000 0.6260
0.3333 0.6667 0.0407
0.3333 0.6667 0.2926
0.6667 0.3333 0.7074
0.6667 0.3333 0.9593

***

Record 7
Mg5Os (PBE, relaxed); energy above the lowest structure with this stoichiometry = 22 meV per atom; formation energy = 0.129 eV/atom; symmetry = P-62m
1.0
5.2418 0.0000 0.0000
-2.6209 4.5395 0.0000
0.0000 0.0000 4.7391
Mg Os
5 1
Direct
0.0000 0.6918 0.0000
0.3082 0.3082 0.0000
0.3333 0.6667 0.5000
0.6667 0.3333 0.5000
0.6918 0.0000 0.0000
0.0000 0.0000 0.5000

***

Record 8
KCaB12 (PBE, relaxed); formation energy = -0.227 eV/atom; symmetry = Fm-3m
1.0
0.0000 4.1851 4.1851
4.1851 0.0000 4.1851
4.1851 4.1851 0.0000
K Ca B
1 1 12
Direct
0.0000 0.0000 0.0000
0.5000 0.5000 0.5000
0.1001 0.1001 0.3999
0.1001 0.3999 0.1001
0.1001 0.3999 0.3999
0.3999 0.1001 0.1001
0.3999 0.1001 0.3999
0.3999 0.3999 0.1001
0.6001 0.6001 0.8999
0.6001 0.8999 0.6001
0.6001 0.8999 0.8999
0.8999 0.6001 0.6001
0.8999 0.6001 0.8999
0.8999 0.8999 0.6001

***

Record 9
CeTlBr4 (PBE, relaxed); energy above the lowest structure with this stoichiometry = 0 meV per atom; E_form (uncorrected) = -1.490 eV/atom; symmetry = C2/c
1.0
5.0801 -7.9740 0.0000
5.0801 7.9740 0.0000
-4.4418 0.0000 5.9146
Ce Tl Br
2 2 8
Direct
0.0849 0.9151 0.7500
0.9151 0.0849 0.2500
0.3479 0.6521 0.2500
0.6521 0.3479 0.7500
0.0542 0.6302 0.8277
0.1844 0.2574 0.7323
0.2574 0.1844 0.2323
0.3698 0.9458 0.6723
0.6302 0.0542 0.3277
0.7426 0.8156 0.7677
0.8156 0.7426 0.2677
0.9458 0.3698 0.1723

***

Record 10
Zn2PPb2 (PBE, relaxed); formation energy = 0.166 eV/atom; symmetry = P4/mbm
1.0
6.5272 0.0000 0.0000
0.0000 6.5272 0.0000
0.0000 0.0000 5.3587
Zn P Pb
4 2 4
Direct
0.1362 0.3638 0.0000
0.3638 0.8638 0.0000
0.6362 0.1362 0.0000
0.8638 0.6362 0.0000
0.0000 0.0000 0.0000
0.5000 0.5000 0.0000
0.1795 0.6795 0.5000
0.3205 0.1795 0.5000
0.6795 0.8205 0.5000
0.8205 0.3205 0.5000

***

Record 11
LaTm8Th4 (PBE, relaxed); formation energy = 0.212 eV/atom; symmetry = R-3m
1.0
3.6592 2.1126 8.8209
-3.6592 2.1126 8.8209
0.0000 -4.2252 8.8209
La Tm Th
1 8 4
Direct
0.0000 0.0000 0.0000
0.2506 0.2506 0.6892
0.2506 0.6892 0.2506
0.2787 0.2787 0.2787
0.3108 0.7494 0.7494
0.6892 0.2506 0.2506
0.7213 0.7213 0.7213
0.7494 0.3108 0.7494
0.7494 0.7494 0.3108
0.0000 0.0000 0.5000
0.0000 0.5000 0.0000
0.5000 0.0000 0.0000
0.5000 0.5000 0.5000

***

Record 12
LaPm2HoSe4 (PBE, relaxed); E_form (uncorrected) = -1.840 eV/atom; symmetry = P2/m
1.0
7.2422 0.0000 0.0000
0.0000 4.1437 0.0000
-2.3748 0.0000 6.9478
La Pm Ho Se
1 2 1 4
Direct
0.0000 0.0000 0.0000
0.5000 0.0000 0.5000
0.5000 0.5000 0.0000
0.0000 0.5000 0.5000
0.2429 0.0000 0.7381
0.2503 0.5000 0.2600
0.7497 0.5000 0.7400
0.7571 0.0000 0.2619